Entry from Alexandria via LeMat-Bulk: Cs2MnAg2F6 after structural relaxation (GGA+U).

Summary:
E = -48.78 eV for the cell shown
Total moment = 5.00 μB/f.u.

The structure in POSCAR format:
```
Cs2MnAg2F6
1.0
6.516 0.000 0.000
-3.258 5.885 -0.029
0.000 -3.424 5.939
Cs Mn Ag F
2 1 2 6
Cartesian
3.258 2.010 1.040
0.000 0.451 4.871
3.258 -1.712 2.969
3.258 2.397 4.481
0.000 0.064 1.430
3.258 0.332 3.661
-1.476 4.557 1.420
1.782 -2.095 4.490
4.734 -2.095 4.490
1.476 4.557 1.420
0.000 2.129 2.249
```